[1]
Material: BiTe2Pb
Method: DFT, PBE
State: optimized geometry

Cell and atoms, written as POSCAR:
```
BiTe2Pb
1.0
6.476 0.000 0.000
0.000 6.476 0.000
3.238 3.238 8.584
Te Pb Bi
4 2 2
Cartesian
4.943 1.619 2.146
4.857 4.771 6.438
8.095 8.181 6.438
1.533 4.857 2.146
3.238 3.238 0.000
3.238 6.476 4.292
6.476 3.238 4.292
0.000 0.000 0.000
```

Summary:
Symmetry: I-42d, No. 122
ΔE_f (raw) in eV/atom: -0.0401

[2]
Material: LiHo4Tl3
Method: DFT, PBE
State: optimized geometry

Cell and atoms, written as POSCAR:
```
LiHo4Tl3
1.0
-2.719 3.043 3.194
1.806 -2.655 4.067
6.545 4.719 -3.129
Tl Ho Li
3 4 1
Cartesian
0.903 -1.327 2.034
4.000 1.172 2.289
1.632 3.936 1.844
1.060 1.418 3.755
4.572 3.690 0.377
1.516 1.224 0.125
4.115 3.884 4.007
-1.359 1.521 1.597
```

Summary:
Symmetry: I4/mmm, No. 139
Formation energy from the elements in eV/atom: -0.2675
E above lowest polymorph in kJ per mole of atoms: 0.00

[3]
Material: TiSiOs2Pt
Method: DFT, PBE
State: optimized geometry

Cell and atoms, written as POSCAR:
```
TiSiOs2Pt
1.0
-1.003 -2.469 -3.696
-2.986 -2.587 2.539
-3.371 2.893 -1.018
Os Si Pt Ti
2 1 1 1
Cartesian
-1.685 1.446 -0.509
-0.502 -1.235 -1.848
-3.680 -1.082 -1.087
-1.493 -1.293 1.269
0.000 0.000 0.000
```

Summary:
Symmetry: P4/mmm, No. 123
ΔE_f (raw) in eV/atom: 1.6348

[4]
Material: Ge3As4
Method: DFT, PBE
State: optimized geometry

Cell and atoms, written as POSCAR:
```
Ge3As4
1.0
-3.762 -2.035 3.484
3.845 -3.254 2.250
1.225 3.963 3.637
Ge As
3 4
Cartesian
1.922 -1.627 1.125
0.613 1.981 1.818
-1.881 -1.017 1.742
0.903 1.354 4.229
-1.271 -1.261 4.162
2.045 -1.792 3.624
0.939 -0.952 6.729
```

Summary:
Symmetry: P-43m, No. 215
Formation energy from the elements in eV/atom: -0.0007

[5]
Material: ThPa3Os2
Method: DFT, PBE
State: optimized geometry

Cell and atoms, written as POSCAR:
```
ThPa3Os2
1.0
-1.767 0.891 -4.165
7.826 -3.846 -1.590
-6.109 -4.778 1.570
Pa Os Th
6 4 2
Cartesian
-1.691 -2.355 0.214
-0.805 -2.918 -2.835
3.425 -4.019 -2.313
-3.475 -3.714 -1.873
0.755 -4.815 -1.350
1.641 -5.378 -4.400
1.787 -2.110 -3.762
1.797 -7.202 -2.303
-1.848 -0.531 -1.883
-1.837 -5.623 -0.423
1.434 -1.118 -0.848
-1.484 -6.615 -3.338
```

Summary:
Symmetry: C2/m, No. 12
Formation energy from the elements in eV/atom: -0.1433

[6]
Material: CeYTe
Method: DFT, PBE
State: optimized geometry

Cell and atoms, written as POSCAR:
```
CeYTe
1.0
-0.483 -0.932 -3.771
-0.363 -3.773 0.979
-5.374 3.058 1.965
Te Ce Y
1 1 1
Cartesian
-2.456 -2.104 -1.197
-0.128 0.016 0.013
-3.637 0.443 0.357
```

Summary:
Symmetry: I4mm, No. 107
E above lowest polymorph in kJ per mole of atoms: 20.79
ΔE_f (raw) in eV/atom: -0.6868

[7]
Material: Zn2TcCl
Method: DFT, PBE
State: optimized geometry

Cell and atoms, written as POSCAR:
```
Zn2TcCl
1.0
-0.771 3.991 -5.036
2.728 0.486 -5.849
-3.291 -2.919 4.747
Zn Cl Tc
2 1 1
Cartesian
0.095 0.218 -0.529
0.883 2.021 -4.913
-1.542 1.655 -2.866
0.207 -0.097 -3.272
```

Summary:
Symmetry: Immm, No. 71
E above lowest polymorph in kJ per mole of atoms: 32.34
ΔE_f (raw) in eV/atom: 0.3763

[8]
Material: BeVMoOs
Method: DFT, PBE
State: optimized geometry

Cell and atoms, written as POSCAR:
```
BeVMoOs
1.0
4.195 0.000 0.000
2.098 3.633 0.000
2.098 1.211 3.426
V Be Os Mo
1 1 1 1
Cartesian
4.195 2.422 1.713
0.000 0.000 0.000
2.098 1.211 0.856
6.293 3.633 2.569
```

Summary:
Symmetry: F-43m, No. 216
Formation energy from the elements in eV/atom: -0.0469

no.,electronic total energy (eV/atom)
1,-3.51
2,-3.68
3,-6.73
4,-4.64
5,-9.87
6,-5.87
7,-3.31
8,-8.77